(1)
Material: Tl3Cu5F12
Method: DFT, PBE
State: optimized geometry

extended XYZ file:
```
80
Lattice="-6.8237 6.8237 6.8237 6.8237 -6.8237 6.8237 6.8237 6.8237 -6.8237" Properties=species:S:1:pos:R:3 pbc="T T T"
Tl 3.4119 1.7059 0.0000
Tl 6.8237 3.4119 -1.7059
Tl 1.7059 0.0000 3.4119
Tl 8.5297 0.0000 3.4119
Tl 0.0000 3.4119 1.7059
Tl 3.4119 -1.7059 6.8237
Tl 3.4119 8.5297 0.0000
Tl 6.8237 3.4119 5.1178
Tl -1.7059 6.8237 3.4119
Tl 5.1178 6.8237 3.4119
Tl 0.0000 3.4119 8.5297
Tl 3.4119 5.1178 6.8237
Cu 0.0000 0.0000 0.0000
Cu 3.4119 3.4119 -3.4119
Cu 3.4119 -3.4119 3.4119
Cu 6.8237 0.0000 0.0000
Cu 10.2356 1.7059 0.0000
Cu 6.8237 -3.4119 5.1178
Cu 5.1178 6.8237 -3.4119
Cu 5.1178 0.0000 3.4119
Cu 3.4119 5.1178 0.0000
Cu 6.8237 3.4119 1.7059
Cu -3.4119 3.4119 3.4119
Cu 0.0000 6.8237 0.0000
Cu 0.0000 0.0000 6.8237
Cu 3.4119 3.4119 3.4119
Cu 0.0000 3.4119 5.1178
Cu 3.4119 1.7059 6.8237
Cu 1.7059 6.8237 3.4119
Cu 1.7059 0.0000 10.2356
Cu 0.0000 10.2356 1.7059
Cu -3.4119 5.1178 6.8237
F 1.9076 -0.5244 0.5526
F 8.3280 3.9645 -3.9363
F 8.7314 0.5244 0.5526
F 8.3280 -2.8593 3.9363
F 6.2993 -0.5526 1.9076
F 10.7600 -1.5042 2.8593
F 0.5526 1.9076 -0.5244
F 9.6830 2.8875 -1.5042
F 3.9645 3.9363 -1.5042
F 6.2712 1.9076 0.5244
F -0.5244 0.5526 1.9076
F 3.9363 -1.5042 3.9645
F 6.2993 6.2712 -1.9076
F 3.9363 1.5042 2.8593
F 3.9645 -3.9363 8.3280
F 6.2712 -1.9076 6.2993
F 2.8593 3.9363 1.5042
F 7.3763 4.9161 0.5244
F 3.9363 8.3280 -2.8593
F 6.2993 0.5526 4.9161
F 1.9076 6.2993 -0.5526
F 8.3280 2.8593 2.8875
F 1.5042 2.8593 3.9363
F 1.9076 0.5244 6.2712
F 4.9161 6.2993 0.5526
F 5.3195 3.9645 2.8875
F -1.5042 3.9645 3.9363
F 4.9161 0.5244 7.3763
F 0.5244 6.2712 1.9076
F 2.8875 -1.5042 9.6830
F -0.5526 1.9076 6.2993
F 3.9645 2.8875 5.3195
F 0.5526 8.7314 0.5244
F 2.8593 10.7600 -1.5042
F 2.8875 5.3195 3.9645
F 0.5244 0.5526 8.7314
F 2.8875 8.3280 2.8593
F 7.3482 6.2712 4.9161
F 0.5526 4.9161 6.2993
F 2.8593 2.8875 8.3280
F -2.8593 3.9363 8.3280
F 6.2712 4.9161 7.3482
F -3.9363 8.3280 3.9645
F 0.5244 7.3763 4.9161
F -1.5042 9.6830 2.8875
F -1.9076 6.2993 6.2712
F -1.5042 2.8593 10.7600
F 4.9161 7.3482 6.2712
```

The density of states at the Fermi level is 49.97 states/eV per cell. The formation energy (no corrections) comes out at -35.4 kcal/mol of atoms.

---

(2)
Material: Nd6Si2Te3P
Method: DFT, PBE
State: optimized geometry

extended XYZ file:
```
12
Lattice="9.6233 -2.1664 0.0000 9.6233 2.1664 0.0000 -2.3068 0.0000 8.5625" Properties=species:S:1:pos:R:3 pbc="T T T"
Nd -0.4014 0.0000 1.9816
Nd 5.3076 0.0000 3.6991
Nd 4.4736 0.0000 7.7182
Nd 12.4662 0.0000 0.8443
Nd 11.6322 0.0000 4.8634
Nd 17.3412 0.0000 6.5809
Si 2.4277 0.0000 2.8407
Si 14.5120 0.0000 5.7218
Te 1.2775 0.0000 7.1416
Te 8.4699 0.0000 4.2812
Te 15.6623 0.0000 1.4209
P 9.6233 0.0000 0.0000
```

The density of states at the Fermi level is 2.61 states/eV per cell. The formation energy (no corrections) comes out at -29.4 kcal/mol of atoms.